No. 1
An optimized crystal structure of CdPdPb2. Source: the Alexandria database, functional GGA-PBE.

## Properties
- Size of the total moment: 0.00 Bohr magnetons per cell
- Energy of formation: -0.0081 eV per atom
- Final energy: -13.6 eV/f.u.

Cell and atoms, written as CIF:
```
data_CdPdPb2
_cell_length_a 3.918
_cell_length_b 4.952
_cell_length_c 4.952
_cell_angle_alpha 90.00
_cell_angle_beta 90.00
_cell_angle_gamma 90.00
_symmetry_space_group_name_H-M 'P 1'
_symmetry_Int_Tables_number 1
loop_
_symmetry_equiv_pos_as_xyz
'x,y,z'
loop_
_atom_site_label
_atom_site_type_symbol
_atom_site_fract_x
_atom_site_fract_y
_atom_site_fract_z
Pb1 Pb 0.000 0.000 0.500
Pb2 Pb 0.000 0.500 0.000
Pd1 Pd 0.500 0.500 0.500
Cd1 Cd 0.500 0.000 0.000
```

No. 2
An optimized crystal structure of Li2Pm3TmS6. Source: the Alexandria database, functional GGA-PBE.

## Properties
- E_form (uncorrected): -181.83 kJ/mol of atoms
- Size of the total moment: 0.00 Bohr magnetons per cell
- Final energy: -69.9 eV/f.u.

Cell and atoms, written as CIF:
```
data_Li2Pm3TmS6
_cell_length_a 6.824
_cell_length_b 6.824
_cell_length_c 6.777
_cell_angle_alpha 99.62
_cell_angle_beta 99.62
_cell_angle_gamma 120.00
_symmetry_space_group_name_H-M 'P 1'
_symmetry_Int_Tables_number 1
loop_
_symmetry_equiv_pos_as_xyz
'x,y,z'
loop_
_atom_site_label
_atom_site_type_symbol
_atom_site_fract_x
_atom_site_fract_y
_atom_site_fract_z
Li1 Li 0.333 0.667 0.000
Li2 Li 0.667 0.333 0.000
Pm1 Pm 0.169 0.831 0.500
Pm2 Pm 0.831 0.169 0.500
Pm3 Pm 0.500 0.500 0.500
Tm1 Tm 0.000 0.000 0.000
S1 S 0.922 0.589 0.767
S2 S 0.747 0.747 0.237
S3 S 0.078 0.411 0.233
S4 S 0.589 0.922 0.767
S5 S 0.253 0.253 0.763
S6 S 0.411 0.078 0.233
```

No. 3
An optimized crystal structure of Sm3Ag2Ir. Source: the Alexandria database, functional GGA-PBE.

## Properties
- Size of the total moment: 0.00 Bohr magnetons per cell
- Energy of formation: -0.4364 eV per atom
- Final energy: -31.3 eV/f.u.

Cell and atoms, written as CIF:
```
data_Sm3Ag2Ir
_cell_length_a 5.115
_cell_length_b 5.115
_cell_length_c 6.339
_cell_angle_alpha 90.00
_cell_angle_beta 90.00
_cell_angle_gamma 120.00
_symmetry_space_group_name_H-M 'P 1'
_symmetry_Int_Tables_number 1
loop_
_symmetry_equiv_pos_as_xyz
'x,y,z'
loop_
_atom_site_label
_atom_site_type_symbol
_atom_site_fract_x
_atom_site_fract_y
_atom_site_fract_z
Sm1 Sm 0.000 0.000 0.500
Sm2 Sm 0.667 0.333 0.857
Sm3 Sm 0.333 0.667 0.143
Ag1 Ag 0.667 0.333 0.358
Ag2 Ag 0.333 0.667 0.642
Ir1 Ir 0.000 0.000 0.000
```

Number 3 is which compound?
Sm3Ag2Ir